(1)
First-principles (PBE-GGA) data for a relaxed structure of BaCaOs2, as listed in Alexandria.

As for the total magnetization: 3.6 Bohr magnetons per cell.

The space group is I4/mmm (No. 139) and the conventional cell measures 4.313, 4.313 and 9.452 Å, with angles of 90.00, 90.00 and 90.00 degrees. Symmetry generates all atoms from Ba at (0.000, 0.000, 0.000), Ca at (0.000, 0.000, 0.500) and Os at (0.000, 0.500, 0.250).

***

(2)
First-principles (PBE-GGA) data for a relaxed structure of BaCaOs2, as listed in Alexandria.

As for the total magnetization: 0.0 Bohr magnetons per cell.

The space group is Pmm2 (No. 25) and the conventional cell measures 3.071, 3.771 and 9.165 Å, with angles of 90.00, 90.00 and 90.00 degrees. Symmetry generates all atoms from Ba at (0.000, 0.000, 0.000), Ca at (0.500, 0.500, 0.407), Os at (0.000, 0.000, 0.636) and Os at (0.500, 0.500, 0.731).

***

(3)
First-principles (PBE-GGA) data for a relaxed structure of BaCaOs2, as listed in Alexandria.

As for the total magnetization: 0.0 Bohr magnetons per cell.

The space group is C2/m (No. 12) and the conventional cell measures 5.931, 9.997 and 3.060 Å, with angles of 90.00, 113.40 and 90.00 degrees. Symmetry generates all atoms from Ba at (0.000, 0.000, 0.000), Ca at (0.000, 0.500, 0.000) and Os at (0.250, 0.250, 0.500).

***

no.,formation energy (eV per atom),polymorph energy (0 for the lowest one) (meV per atom),V (Å³ per cell)
1,1.193,1017,175.8
2,0.485,309,106.1
3,1.178,1001,166.5